PBE TiAlGe2, relaxed; density of states at the Fermi level = 1.79 states/eV/cell; formation enthalpy at 0 K = -0.1171 eV per atom; magnetic moment = 0.00 μB/f.u.; space group = R-3m, No. 166
1.0
1.4678 0.8475 9.5307
-1.4678 0.8475 9.5307
0.0000 -1.6949 9.5307
Ti Al Ge
1 1 2
direct
0.0000 0.0000 0.0000 Ti
0.5000 0.5000 0.5000 Al
0.4081 0.4081 0.4081 Ge
0.5919 0.5919 0.5919 Ge